Below is crystalline TbPm5Er2 at its relaxed geometry, with properties calculated at the GGA-PBE level.

The structure in extended XYZ format:
```
16
Lattice="3.2217 -12.8019 0.0000 3.2217 12.8019 0.0000 -0.6983 0.0000 6.5311" Properties=species:S:1:pos:R:3 pbc="T T T"
Tb 2.6980 11.5882 4.8983
Tb 3.0471 -11.5882 1.6328
Pm 0.8648 4.7405 3.2596
Pm 0.9971 2.5046 5.3282
Pm 1.3462 -2.5046 2.0627
Pm 0.5156 -4.7405 6.5251
Pm 3.0471 3.2036 1.6328
Pm 2.6980 -3.2036 4.8983
Pm 5.2295 4.7405 0.0060
Pm 4.3989 2.5046 4.4683
Pm 4.7480 -2.5046 1.2028
Pm 4.8803 -4.7405 3.2715
Er 1.6108 6.4010 0.0000
Er 1.2617 -6.4010 3.2655
Er 3.2217 0.0000 0.0000
Er 2.8725 0.0000 3.2655
```

Below is crystalline TiPRuS2 at its relaxed geometry, with properties calculated at the GGA-PBE level.

Properties
* E_form (uncorrected): 0.428 eV per atom

The structure in extended XYZ format:
```
5
Lattice="4.7188 0.0000 0.0000 0.0000 4.7188 0.0000 0.0000 0.0000 4.3534" Properties=species:S:1:pos:R:3 pbc="T T T"
Ti 0.0000 0.0000 0.0000
P 2.3594 2.3594 0.0000
Ru 2.3594 2.3594 2.1767
S 0.0000 2.3594 2.1767
S 2.3594 0.0000 2.1767
```

Below is crystalline Hg3MoRu at its relaxed geometry, with properties calculated at the GGA-PBE level.

The structure in extended XYZ format:
```
5
Lattice="5.1737 0.0000 0.0000 0.0000 5.1737 0.0000 0.0000 0.0000 5.1737" Properties=species:S:1:pos:R:3 pbc="T T T"
Hg 0.0000 0.0000 2.5869
Hg 0.0000 2.5869 0.0000
Hg 2.5869 0.0000 0.0000
Mo 2.5869 2.5869 2.5869
Ru 0.0000 0.0000 0.0000
```

Number 1: polymorph energy (0 for the lowest one) 2.122 eV per formula unit, DOS(E_F) 1.42 states/eV per atom. Number 2: polymorph energy (0 for the lowest one) 0.000 eV per formula unit, DOS(E_F) 1.11 states/eV per atom. Number 3: polymorph energy (0 for the lowest one) 0.000 eV per formula unit, DOS(E_F) 0.69 states/eV per atom.